Entry from Alexandria via LeMat-Bulk: a geometry-optimized Li2CaZn structure (GGA-PBE).

Structure (POSCAR):
```
Li2CaZn
1.0
-1.539 2.031 -2.484
-2.874 0.349 2.065
2.809 5.728 2.943
Zn Ca Li
1 1 2
direct
0.500 0.500 0.250
0.500 0.500 0.750
0.000 0.000 0.066
0.000 0.000 0.434
```

Summary:
calculated density: 2.2 g/cm³
space-group type: No. 123
ΔE_f: -15 kJ/mol of formula units

Entry from Alexandria via LeMat-Bulk: a geometry-optimized V5TcRu4 structure (GGA-PBE).

Structure (POSCAR):
```
V5TcRu4
1.0
-2.424 -1.425 1.069
1.387 -0.377 2.643
-5.626 13.194 4.833
V Tc Ru
5 1 4
direct
0.500 0.500 0.097
0.500 0.500 0.300
0.500 0.500 0.500
0.500 0.500 0.700
0.500 0.500 0.903
0.000 0.000 0.000
0.000 0.000 0.201
0.000 0.000 0.401
0.000 0.000 0.599
0.000 0.000 0.799
```

Summary:
calculated density: 9.2 g/cm³
space-group type: No. 123
ΔE_f: -260 kJ/mol of formula units

Entry from Alexandria via LeMat-Bulk: a geometry-optimized LuPaCuNi structure (GGA-PBE).

Structure (POSCAR):
```
LuPaCuNi
1.0
-0.959 -4.260 -1.940
2.514 -3.845 1.316
-2.060 -3.415 2.632
Ni Pa Lu Cu
1 1 1 1
direct
0.000 0.000 0.000
0.250 0.250 0.250
0.750 0.750 0.750
0.500 0.500 0.500
```

Summary:
calculated density: 11.4 g/cm³
space-group type: No. 216
ΔE_f: -53 kJ/mol of formula units